[1]
Compound: CeZnCdHg
Source: Alexandria
Functional: GGA-PBE
Structure: relaxed

Unit cell a=5.0588 b=5.0588 c=5.0588 alpha=60.00 beta=60.00 gamma=60.00
Each line ends with the local moment (μB).
Atoms (fractional coordinates):
Zn1 0.0000 0.0000 0.0000  0.01
Ce1 0.2500 0.2500 0.2500  0.68
Cd1 0.7500 0.7500 0.7500  0.00
Hg1 0.5000 0.5000 0.5000  0.00

Results
Formation energy from the elements, eV per atom: -0.282
N(E_F), states/eV/cell: 6.60


[2]
Compound: Be4As
Source: Alexandria
Functional: GGA-PBE
Structure: relaxed

Unit cell a=4.2771 b=4.2771 c=4.2771 alpha=99.32 beta=99.32 gamma=132.54
Atoms (fractional coordinates):
Be1 0.5880 0.8217 0.4097
Be2 0.1783 0.5880 0.7662
Be3 0.4120 0.1783 0.5903
Be4 0.8217 0.4120 0.2338
As1 0.0000 0.0000 0.0000

Results
Formation energy from the elements, eV per atom: 0.381
N(E_F), states/eV/cell: 1.40


[3]
Compound: TaSiTc2
Source: Alexandria
Functional: GGA-PBE
Structure: relaxed

Unit cell a=5.1599 b=5.1599 c=4.1941 alpha=66.05 beta=66.05 gamma=35.61
Atoms (fractional coordinates):
Tc1 0.0018 0.0018 0.9985
Tc2 0.7553 0.7553 0.7444
Si1 0.4926 0.4926 0.5077
Ta1 0.2503 0.2503 0.2494

Results
N(E_F), states/eV/cell: 1.71
Formation energy (no corrections), eV/atom: -0.390


Question: Among the records above, which one has the highest N(E_F)?
Answer: CeZnCdHg


Question: Which of these has the lowest N(E_F)?
Answer: Be4As


Question: Number 3 is which compound?
Answer: TaSiTc2